1.
A relaxed LaTmO3 crystal, computed with PBE.

Output
- E (eV/atom) = -8.397
- theoretical density (g/cm³) = 8.061

abc: 6.0206 8.3768 5.8138
angles: 90.00 90.00 90.00
Closest atoms and distances in Å follow each position.
Space group Pnma (No. 62)
Inequivalent atoms, fractional coordinates:
La: 0.0495 0.2500 0.0148  4 O 2.36-2.52
Tm: 0.0000 0.0000 0.5000  6 O 2.21-2.24
O: 0.0547 0.7500 0.3757  2 Tm 2.24, 1 La 2.36
O: 0.1944 0.5656 0.8076  2 Tm 2.21-2.22, 1 La 2.37

***

2.
A relaxed Er3Al2 crystal, computed with PBE.

Output
- E (eV/atom) = -4.182
- theoretical density (g/cm³) = 6.338

abc: 6.2603 6.2603 25.7410
angles: 90.00 90.00 120.00
Closest atoms and distances in Å follow each position.
Space group R-3c (No. 167, hexagonal axes)
Inequivalent atoms, fractional coordinates:
Er: 0.0000 0.3279 0.2500  4 Al 2.97-3.00
Al: 0.0000 0.0000 0.1648  6 Er 2.97-3.00

***

3.
A relaxed KInBAu crystal, computed with PBE.

Output
- excess energy over the best structure of this formula in the dataset (eV/atom) = 0.158
- theoretical density (g/cm³) = 6.979

abc: 7.0085 7.0085 7.0085
angles: 90.00 90.00 90.00
Closest atoms and distances in Å follow each position.
Space group F-43m (No. 216)
Inequivalent atoms, fractional coordinates:
K: 0.0000 0.0000 0.0000  4 Au 3.03, 4 In 3.03
In: 0.2500 0.2500 0.2500  4 K 3.03, 4 B 3.03
B: 0.0000 0.0000 0.5000  4 In 3.03, 4 Au 3.03
Au: 0.2500 0.2500 0.7500  4 K 3.03, 4 B 3.03

***

4.
A relaxed PmLuPt crystal, computed with PBE.

Output
- energy of formation from the pure elements (eV/atom) = -0.1596
- theoretical density (g/cm³) = 11.194

abc: 6.7358 6.7358 6.7358
angles: 90.00 90.00 90.00
Closest atoms and distances in Å follow each position.
Space group F-43m (No. 216)
Inequivalent atoms, fractional coordinates:
Pm: 0.0000 0.0000 0.0000  4 Lu 2.92
Lu: 0.2500 0.2500 0.2500  4 Pm 2.92, 4 Pt 2.92
Pt: 0.0000 0.0000 0.5000  4 Lu 2.92

***

5.
A relaxed YZn2Au crystal, computed with PBE.

Output
- energy of formation from the pure elements (eV/atom) = -0.4734
- theoretical density (g/cm³) = 9.106

abc: 6.7236 6.7236 6.7236
angles: 90.00 90.00 90.00
Closest atoms and distances in Å follow each position.
Space group F-43m (No. 216)
Inequivalent atoms, fractional coordinates:
Y: 0.0000 0.0000 0.0000  4 Au 2.91, 4 Zn 2.91
Zn: 0.0000 0.0000 0.5000  4 Zn 2.91, 4 Au 2.91
Zn: 0.2500 0.2500 0.7500  4 Zn 2.91, 4 Y 2.91
Au: 0.2500 0.2500 0.2500  4 Zn 2.91, 4 Y 2.91

***

6.
A relaxed RbIr2 crystal, computed with PBE.

Output
- excess energy over the best structure of this formula in the dataset (eV/atom) = 1.968
- theoretical density (g/cm³) = 11.271

abc: 6.5180 6.5180 6.5180
angles: 90.00 90.00 90.00
Closest atoms and distances in Å follow each position.
Space group Fm-3m (No. 225)
Inequivalent atoms, fractional coordinates:
Rb: 0.0000 0.0000 0.0000  8 Ir 2.82
Ir: 0.2500 0.2500 0.2500  4 Rb 2.82

***

7.
A relaxed SrScHg2Br6 crystal, computed with PBE.

Output
- E (eV/atom) = -3.066
- theoretical density (g/cm³) = 4.778

abc: 11.2097 11.2097 11.2097
angles: 90.00 90.00 90.00
Closest atoms and distances in Å follow each position.
Space group Fm-3m (No. 225)
Inequivalent atoms, fractional coordinates:
Sr: 0.0000 0.0000 0.0000  6 Br 2.97
Sc: 0.0000 0.0000 0.5000  6 Br 2.63
Hg: 0.2500 0.2500 0.2500  12 Br 3.97
Br: 0.0000 0.0000 0.2652  1 Sc 2.63

***

8.
A relaxed GdPuRe crystal, computed with PBE.

Output
- energy of formation from the pure elements (eV/atom) = 1.0107
- excess energy over the best structure of this formula in the dataset (eV/atom) = 0.000
- theoretical density (g/cm³) = 14.762

abc: 6.4177 6.4177 6.4177
angles: 90.00 90.00 90.00
Closest atoms and distances in Å follow each position.
Space group F-43m (No. 216)
Inequivalent atoms, fractional coordinates:
Gd: 0.0000 0.0000 0.0000  4 Pu 2.78
Pu: 0.2500 0.2500 0.2500  4 Re 2.78, 4 Gd 2.78
Re: 0.0000 0.0000 0.5000  4 Pu 2.78

***

9.
A relaxed LuFeCoAs crystal, computed with PBE.

Output
- excess energy over the best structure of this formula in the dataset (eV/atom) = 0.100
- theoretical density (g/cm³) = 9.638

abc: 6.3106 6.3106 6.3106
angles: 90.00 90.00 90.00
Closest atoms and distances in Å follow each position.
Space group F-43m (No. 216)
Inequivalent atoms, fractional coordinates:
Lu: 0.0000 0.0000 0.0000  4 As 2.73, 4 Co 2.73
Fe: 0.0000 0.0000 0.5000  4 As 2.73, 4 Co 2.73
Co: 0.2500 0.2500 0.7500  4 Fe 2.73, 4 Lu 2.73
As: 0.2500 0.2500 0.2500  4 Fe 2.73, 4 Lu 2.73

***

10.
A relaxed SmTmGa2Ag2 crystal, computed with PBE.

Output
- excess energy over the best structure of this formula in the dataset (eV/atom) = 0.008
- theoretical density (g/cm³) = 8.615

abc: 4.6147 4.6147 7.0494
angles: 90.00 90.00 120.00
Closest atoms and distances in Å follow each position.
Space group P-6m2 (No. 187)
Inequivalent atoms, fractional coordinates:
Sm: 0.0000 0.0000 0.0000  6 Ga 3.10, 6 Ag 3.27
Tm: 0.0000 0.0000 0.5000  6 Ag 3.13, 6 Ga 3.30
Ga: 0.6667 0.3333 0.2235  3 Ag 2.68
Ag: 0.3333 0.6667 0.2682  3 Ga 2.68

***

11.
A relaxed TbInCu crystal, computed with PBE.

Output
- E (eV/atom) = -3.964
- theoretical density (g/cm³) = 8.566

abc: 7.0019 7.0019 4.6197
angles: 90.00 90.00 120.00
Closest atoms and distances in Å follow each position.
Space group P-62m (No. 189)
Inequivalent atoms, fractional coordinates:
Tb: 0.0000 0.5623 0.0000  5 In 3.06-3.10, 2 Cu 3.30
In: 0.0000 0.0000 0.0000  6 Cu 2.80, 3 Tb 3.06
In: 0.3333 0.6667 0.5000  3 Cu 2.79, 6 Tb 3.10
Cu: 0.0000 0.2256 0.5000  2 Cu 2.74, 4 In 2.79-2.80

***

12.
A relaxed NaUW crystal, computed with PBE.

Output
- excess energy over the best structure of this formula in the dataset (eV/atom) = 0.000
- theoretical density (g/cm³) = 10.838

abc: 6.4842 6.4842 6.4842
angles: 90.00 90.00 90.00
Closest atoms and distances in Å follow each position.
Space group F-43m (No. 216)
Inequivalent atoms, fractional coordinates:
Na: 0.0000 0.0000 0.0000  4 W 2.81
U: 0.0000 0.0000 0.5000  4 W 2.81
W: 0.2500 0.2500 0.2500  4 Na 2.81, 4 U 2.81